Entry 1:
Here is an optimized crystal structure of MgSc3 from Alexandria via LeMat-Bulk. Energies are from PBE.

Results
volume = 192.22 Å³/cell
formation energy from the elements = 11 meV per atom
total DFT energy (no corrections) = -41.089 eV per cell

a = 6.495 Å, b = 6.495 Å, c = 5.261 Å
α = 90.00°, β = 90.00°, γ = 120.00°
Positions (direct):
Mg  0.333  0.667  0.250
Mg  0.667  0.333  0.750
Sc  0.167  0.334  0.750
Sc  0.167  0.833  0.750
Sc  0.334  0.167  0.250
Sc  0.666  0.833  0.750
Sc  0.833  0.167  0.250
Sc  0.833  0.666  0.250

Entry 2:
Here is an optimized crystal structure of PmDyZnSi from Alexandria via LeMat-Bulk. Energies are from PBE.

Results
volume = 95.26 Å³/cell
total DFT energy (no corrections) = -18.229 eV per cell
raw formation energy = -0.545 eV per atom

a = 4.081 Å, b = 5.913 Å, c = 5.913 Å
α = 41.88°, β = 90.00°, γ = 90.00°
Positions (direct):
Pm  0.000  0.000  0.000
Dy  0.500  0.715  0.715
Zn  0.500  0.421  0.421
Si  0.000  0.282  0.282

Entry 3:
Here is an optimized crystal structure of SrSmGa3 from Alexandria via LeMat-Bulk. Energies are from PBE.

Results
volume = 258.36 Å³/cell
formation energy from the elements = -516 meV per atom
total DFT energy (no corrections) = -36.120 eV per cell

a = 13.346 Å, b = 13.346 Å, c = 4.263 Å
α = 90.00°, β = 90.00°, γ = 160.11°
Positions (direct):
Sr  0.074  0.926  0.750
Sr  0.926  0.074  0.250
Sm  0.203  0.797  0.250
Sm  0.797  0.203  0.750
Ga  0.322  0.678  0.250
Ga  0.378  0.622  0.750
Ga  0.475  0.525  0.750
Ga  0.525  0.475  0.250
Ga  0.622  0.378  0.250
Ga  0.678  0.322  0.750

Entry 4:
Here is an optimized crystal structure of NdSm2Cd6 from Alexandria via LeMat-Bulk. Energies are from PBE.

Results
volume = 229.78 Å³/cell
formation energy from the elements = -340 meV per atom
total DFT energy (no corrections) = -22.753 eV per cell

a = 8.769 Å, b = 8.769 Å, c = 3.450 Å
α = 90.00°, β = 90.00°, γ = 120.00°
Positions (direct):
Nd  0.000  0.000  0.000
Sm  0.333  0.667  0.000
Sm  0.667  0.333  0.000
Cd  0.000  0.334  0.500
Cd  0.000  0.666  0.500
Cd  0.334  0.000  0.500
Cd  0.334  0.334  0.500
Cd  0.666  0.000  0.500
Cd  0.666  0.666  0.500

Entry 5:
Here is an optimized crystal structure of CrReTc2 from Alexandria via LeMat-Bulk. Energies are from PBE.

Results
volume = 56.77 Å³/cell
formation energy from the elements = 202 meV per atom
total DFT energy (no corrections) = -41.995 eV per cell

a = 2.656 Å, b = 5.020 Å, c = 5.045 Å
α = 116.63°, β = 100.31°, γ = 99.64°
Positions (direct):
Cr  0.000  0.000  0.000
Re  0.500  0.500  0.000
Tc  0.000  0.500  0.500
Tc  0.500  0.000  0.500

Entry 6:
Here is an optimized crystal structure of NaAg6Au2 from Alexandria via LeMat-Bulk. Energies are from PBE.

Results
volume = 328.52 Å³/cell
formation energy from the elements = -50 meV per atom
total DFT energy (no corrections) = -50.854 eV per cell

a = 8.815 Å, b = 8.815 Å, c = 4.228 Å
α = 90.00°, β = 90.00°, γ = 90.00°
Positions (direct):
Na  0.000  0.000  0.000
Na  0.500  0.500  0.500
Ag  0.002  0.335  0.000
Ag  0.165  0.502  0.500
Ag  0.166  0.834  0.500
Ag  0.334  0.334  0.000
Ag  0.335  0.002  0.000
Ag  0.498  0.835  0.500
Ag  0.502  0.165  0.500
Ag  0.665  0.998  0.000
Ag  0.666  0.666  0.000
Ag  0.834  0.166  0.500
Ag  0.835  0.498  0.500
Ag  0.998  0.665  0.000
Au  0.171  0.171  0.500
Au  0.329  0.671  0.000
Au  0.671  0.329  0.000
Au  0.829  0.829  0.500

Entry 7:
Here is an optimized crystal structure of NaLi4Pd5 from Alexandria via LeMat-Bulk. Energies are from PBE.

Results
volume = 144.69 Å³/cell
formation energy from the elements = -334 meV per atom
total DFT energy (no corrections) = -38.280 eV per cell

a = 2.921 Å, b = 2.921 Å, c = 16.957 Å
α = 90.00°, β = 90.00°, γ = 90.00°
Positions (direct):
Na  0.000  0.000  0.000
Li  0.000  0.000  0.223
Li  0.000  0.000  0.408
Li  0.000  0.000  0.592
Li  0.000  0.000  0.777
Pd  0.500  0.500  0.131
Pd  0.500  0.500  0.316
Pd  0.500  0.500  0.500
Pd  0.500  0.500  0.684
Pd  0.500  0.500  0.869

Entry 8:
Here is an optimized crystal structure of RbMg3Tl2 from Alexandria via LeMat-Bulk. Energies are from PBE.

Results
volume = 383.69 Å³/cell
formation energy from the elements = -25 meV per atom
total DFT energy (no corrections) = -21.274 eV per cell

a = 9.725 Å, b = 9.725 Å, c = 9.145 Å
α = 113.34°, β = 113.34°, γ = 29.09°
Positions (direct):
Rb  0.155  0.155  0.066
Rb  0.845  0.845  0.934
Mg  0.030  0.030  0.365
Mg  0.313  0.313  0.549
Mg  0.415  0.415  0.353
Mg  0.585  0.585  0.647
Mg  0.687  0.687  0.451
Mg  0.970  0.970  0.635
Tl  0.182  0.182  0.658
Tl  0.475  0.475  0.817
Tl  0.525  0.525  0.183
Tl  0.818  0.818  0.342

Entry 9:
Here is an optimized crystal structure of PmAl2Au4 from Alexandria via LeMat-Bulk. Energies are from PBE.

Results
volume = 133.06 Å³/cell
formation energy from the elements = -589 meV per atom
total DFT energy (no corrections) = -29.470 eV per cell

a = 5.643 Å, b = 5.643 Å, c = 5.643 Å
α = 103.47°, β = 103.47°, γ = 122.28°
Positions (direct):
Pm  0.000  0.000  0.000
Al  0.250  0.750  0.500
Al  0.750  0.250  0.500
Au  0.300  0.300  0.600
Au  0.300  0.700  0.000
Au  0.700  0.300  0.000
Au  0.700  0.700  0.400

Entry 10:
Here is an optimized crystal structure of NdB2IrRu from Alexandria via LeMat-Bulk. Energies are from PBE.

Results
volume = 77.31 Å³/cell
formation energy from the elements = -591 meV per atom
total DFT energy (no corrections) = -39.216 eV per cell

a = 5.683 Å, b = 5.683 Å, c = 5.683 Å
α = 139.30°, β = 139.30°, γ = 58.92°
Positions (direct):
Nd  0.000  0.000  0.000
B  0.331  0.331  0.000
B  0.669  0.669  0.000
Ir  0.750  0.250  0.500
Ru  0.250  0.750  0.500

Entry 11:
Here is an optimized crystal structure of ZrNi2Pb from Alexandria via LeMat-Bulk. Energies are from PBE.

Results
volume = 70.44 Å³/cell
formation energy from the elements = -39 meV per atom
total DFT energy (no corrections) = -23.977 eV per cell

a = 3.299 Å, b = 3.299 Å, c = 6.473 Å
α = 90.00°, β = 90.00°, γ = 90.00°
Positions (direct):
Zr  0.000  0.000  0.000
Ni  0.000  0.000  0.393
Ni  0.500  0.500  0.209
Pb  0.500  0.500  0.636